Below is a relaxed DyMgCu17 crystal, with properties calculated at the PBE level.

Values from the calculation:
Total energy, eV per atom: -4.045
Spin magnetization, μB/f.u.: 0.00
ΔH_f (0 K), eV per atom: -0.054

abc: 6.415 6.415 6.415
angles: 82.70 82.70 82.70
Fractional coordinates of all 19 atoms:
Dy 0.000 0.000 0.000
Mg 0.682 0.682 0.682
Cu 0.038 0.342 0.638
Cu 0.038 0.638 0.342
Cu 0.192 0.685 0.685
Cu 0.244 0.244 0.244
Cu 0.336 0.336 0.842
Cu 0.336 0.842 0.336
Cu 0.342 0.038 0.638
Cu 0.342 0.638 0.038
Cu 0.441 0.441 0.441
Cu 0.500 0.991 0.991
Cu 0.638 0.038 0.342
Cu 0.638 0.342 0.038
Cu 0.685 0.192 0.685
Cu 0.685 0.685 0.192
Cu 0.842 0.336 0.336
Cu 0.991 0.500 0.991
Cu 0.991 0.991 0.500